# CeEr2ThSb4

A relaxed structure of CeEr2ThSb4 (PBE, Alexandria via LeMat-Bulk).

- DOS at the Fermi energy (states/eV/atom) = 1.065
- formation energy (no corrections) (eV/f.u.) = -8.362
- electronic total energy (eV per atom) = -5.916
- total magnetic moment (μB/atom) = 0.12

Cell lengths 7.647, 4.439, 7.684 Å; angles 90.00, 109.54, 90.00 degrees
Space group P2/m (No. 10)
Inequivalent atoms, fractional coordinates:
Ce 0.000 0.000 0.000 x1
Er 0.500 0.000 0.500 x1
Er 0.500 0.500 0.000 x1
Th 0.000 0.500 0.500 x1
Sb 0.260 0.500 0.253 x2
Sb 0.261 0.000 0.754 x2